Ta5W3 | GGA-PBE | relaxed

Geometry as POSCAR:
```
Ta5W3
1.0
3.257 0.000 0.000
0.000 3.257 0.000
0.000 0.000 13.057
Ta W
5 3
Direct
0.000 0.000 0.000 Ta
0.000 0.000 0.245 Ta
0.000 0.000 0.755 Ta
0.500 0.500 0.379 Ta
0.500 0.500 0.621 Ta
0.000 0.000 0.500 W
0.500 0.500 0.125 W
0.500 0.500 0.875 W
```

Results
- Energy of formation: -0.0893 eV/atom

---

Ta5W2 | GGA-PBE | relaxed

Geometry as POSCAR:
```
Ta5W2
1.0
4.021 -2.325 0.000
4.021 2.325 0.000
-2.697 0.000 6.577
Ta W
5 2
Direct
0.000 0.000 0.000 Ta
0.146 0.146 0.438 Ta
0.426 0.426 0.277 Ta
0.574 0.574 0.723 Ta
0.854 0.854 0.562 Ta
0.285 0.285 0.855 W
0.715 0.715 0.145 W
```

Results
- Energy of formation: -0.0678 eV/atom

---

Ta5W | GGA-PBE | relaxed

Geometry as POSCAR:
```
Ta5W
1.0
4.971 0.000 0.000
-2.486 4.305 0.000
0.000 0.000 5.135
Ta W
5 1
Direct
0.000 0.669 0.000 Ta
0.331 0.331 0.000 Ta
0.333 0.667 0.500 Ta
0.667 0.333 0.500 Ta
0.669 0.000 0.000 Ta
0.000 0.000 0.500 W
```

Results
- Energy of formation: 0.3223 eV/atom

---

Ta8W | GGA-PBE | relaxed

Geometry as POSCAR:
```
Ta8W
1.0
-4.957 4.957 1.646
4.957 -4.957 1.646
4.957 4.957 -1.646
Ta W
8 1
Direct
0.000 0.334 0.334 Ta
0.000 0.666 0.666 Ta
0.334 0.000 0.334 Ta
0.337 0.337 0.673 Ta
0.337 0.663 0.000 Ta
0.663 0.337 0.000 Ta
0.663 0.663 0.327 Ta
0.666 0.000 0.666 Ta
0.000 0.000 0.000 W
```

Results
- Energy of formation: -0.0228 eV/atom

---

TaW5 | GGA-PBE | relaxed

Geometry as POSCAR:
```
TaW5
1.0
2.270 -6.789 0.000
2.270 6.789 0.000
0.000 0.000 3.199
Ta W
1 5
Direct
0.000 0.000 0.000 Ta
0.169 0.831 0.500 W
0.333 0.667 0.000 W
0.500 0.500 0.500 W
0.667 0.333 0.000 W
0.831 0.169 0.500 W
```

Results
- Energy of formation: -0.0708 eV/atom

---

Ta4W | GGA-PBE | relaxed

Geometry as POSCAR:
```
Ta4W
1.0
5.301 0.000 0.000
0.000 8.369 0.000
-1.821 0.000 4.274
Ta W
8 2
Direct
0.174 0.148 0.082 Ta
0.174 0.852 0.582 Ta
0.219 0.398 0.572 Ta
0.219 0.602 0.072 Ta
0.781 0.398 0.928 Ta
0.781 0.602 0.428 Ta
0.826 0.148 0.418 Ta
0.826 0.852 0.918 Ta
0.500 0.121 0.750 W
0.500 0.879 0.250 W
```

Results
- Energy of formation: 0.3233 eV/atom